[1]
# Tb8Al2In PBE relaxed
data_Tb8Al2In
_cell_length_a 5.017
_cell_length_b 8.409
_cell_length_c 14.730
_cell_angle_alpha 90.00
_cell_angle_beta 90.00
_cell_angle_gamma 90.00
_space_group_name_H-M_alt 'I m m m'
_space_group_IT_number 71
_space_group_name_Hall '-I 2 2'
loop_
_atom_site_label
_atom_site_type_symbol
_atom_site_fract_x
_atom_site_fract_y
_atom_site_fract_z
Tb1 Tb 0.000 0.000 0.145
Tb2 Tb 0.000 0.216 0.339
Tb3 Tb 0.000 0.312 0.000
Al1 Al 0.000 0.500 0.193
In1 In 0.000 0.500 0.500
# E_form = -0.183 eV per atom
# Raw total energy = -98.55 eV/cell
# DOS(E_F) = 25.888 states/eV per cell



[2]
# TbAlIn2 PBE relaxed
data_TbAlIn2
_cell_length_a 4.508
_cell_length_b 4.508
_cell_length_c 4.573
_cell_angle_alpha 90.00
_cell_angle_beta 90.00
_cell_angle_gamma 90.00
_space_group_name_H-M_alt 'P 4/m m m'
_space_group_IT_number 123
_space_group_name_Hall '-P 4 2'
loop_
_atom_site_label
_atom_site_type_symbol
_atom_site_fract_x
_atom_site_fract_y
_atom_site_fract_z
Tb1 Tb 0.000 0.000 0.000
Al1 Al 0.500 0.500 0.000
In1 In 0.000 0.500 0.500
# E_form = -0.384 eV per atom
# Raw total energy = -15.38 eV/cell
# DOS(E_F) = 1.199 states/eV per cell



[3]
# Tb4Al2In PBE relaxed
data_Tb4Al2In
_cell_length_a 5.1392
_cell_length_b 5.1392
_cell_length_c 25.0058
_cell_angle_alpha 90.00
_cell_angle_beta 90.00
_cell_angle_gamma 120.00
_space_group_name_H-M_alt 'R -3 m'
_space_group_IT_number 166
_space_group_name_Hall '-R 3 2"'
loop_
_atom_site_label
_atom_site_type_symbol
_atom_site_fract_x
_atom_site_fract_y
_atom_site_fract_z
Tb1 Tb 0.0000 0.0000 0.1162
Tb2 Tb 0.0000 0.0000 0.3694
Al1 Al 0.0000 0.0000 0.2480
In1 In 0.0000 0.0000 0.5000
# E_form = -0.265 eV per atom
# Raw total energy = -91.79 eV/cell
# DOS(E_F) = 20.377 states/eV per cell



[4]
# Tb5AlIn2 PBE relaxed
data_Tb5AlIn2
_cell_length_a 8.047
_cell_length_b 8.047
_cell_length_c 14.206
_cell_angle_alpha 90.00
_cell_angle_beta 90.00
_cell_angle_gamma 90.00
_space_group_name_H-M_alt 'I 4/m c m'
_space_group_IT_number 140
_space_group_name_Hall '-I 4 2c'
loop_
_atom_site_label
_atom_site_type_symbol
_atom_site_fract_x
_atom_site_fract_y
_atom_site_fract_z
Tb1 Tb 0.000 0.000 0.000
Tb2 Tb 0.166 0.334 0.154
Al1 Al 0.000 0.000 0.250
In1 In 0.129 0.371 0.500
# E_form = -0.302 eV per atom
# Raw total energy = -139.16 eV/cell
# DOS(E_F) = 28.233 states/eV per cell



[5]
# Tb12AlIn3 PBE relaxed
data_Tb12AlIn3
_cell_length_a 4.838
_cell_length_b 4.838
_cell_length_c 19.370
_cell_angle_alpha 90.00
_cell_angle_beta 90.00
_cell_angle_gamma 90.00
_space_group_name_H-M_alt 'P 4/m m m'
_space_group_IT_number 123
_space_group_name_Hall '-P 4 2'
loop_
_atom_site_label
_atom_site_type_symbol
_atom_site_fract_x
_atom_site_fract_y
_atom_site_fract_z
Tb1 Tb 0.000 0.000 0.000
Tb2 Tb 0.000 0.000 0.248
Tb3 Tb 0.000 0.000 0.500
Tb4 Tb 0.000 0.500 0.121
Tb5 Tb 0.000 0.500 0.374
Al1 Al 0.500 0.500 0.000
In1 In 0.500 0.500 0.248
In2 In 0.500 0.500 0.500
# E_form = -0.249 eV per atom
# Raw total energy = -71.50 eV/cell
# DOS(E_F) = 24.082 states/eV per cell



[6]
# Tb5Al2In2 PBE relaxed
data_Tb5Al2In2
_cell_length_a 16.181
_cell_length_b 7.987
_cell_length_c 7.762
_cell_angle_alpha 90.00
_cell_angle_beta 90.00
_cell_angle_gamma 90.00
_space_group_name_H-M_alt 'C m c e'
_space_group_IT_number 64
_space_group_name_Hall '-C 2ac 2'
loop_
_atom_site_label
_atom_site_type_symbol
_atom_site_fract_x
_atom_site_fract_y
_atom_site_fract_z
Tb1 Tb 0.000 0.000 0.000
Tb2 Tb 0.132 0.189 0.321
Al1 Al 0.000 0.117 0.617
In1 In 0.219 0.000 0.000
# E_form = -0.348 eV per atom
# Raw total energy = -156.98 eV/cell
# DOS(E_F) = 30.872 states/eV per cell



[7]
# Tb4AlIn3 PBE relaxed
data_Tb4AlIn3
_cell_length_a 4.288
_cell_length_b 4.567
_cell_length_c 11.449
_cell_angle_alpha 90.00
_cell_angle_beta 90.00
_cell_angle_gamma 90.00
_space_group_name_H-M_alt 'P m m 2'
_space_group_IT_number 25
loop_
_space_group_symop_operation_xyz
'x,y,z'
'-x,-y,z'
'-x,y,z'
'x,-y,z'
loop_
_atom_site_label
_atom_site_type_symbol
_atom_site_fract_x
_atom_site_fract_y
_atom_site_fract_z
Tb1 Tb 0.000 0.000 0.000
Tb2 Tb 0.000 0.500 0.489
Tb3 Tb 0.500 0.000 0.716
Tb4 Tb 0.500 0.500 0.220
Al1 Al 0.000 0.000 0.276
In1 In 0.000 0.500 0.769
In2 In 0.500 0.000 0.434
In3 In 0.500 0.500 0.941
# E_form = -0.410 eV per atom
# Raw total energy = -33.76 eV/cell
# DOS(E_F) = 7.634 states/eV per cell



[8]
# Tb2AlIn PBE relaxed
data_Tb2AlIn
_cell_length_a 3.657
_cell_length_b 3.657
_cell_length_c 7.573
_cell_angle_alpha 90.00
_cell_angle_beta 90.00
_cell_angle_gamma 90.00
_space_group_name_H-M_alt 'P 4/m m m'
_space_group_IT_number 123
_space_group_name_Hall '-P 4 2'
loop_
_atom_site_label
_atom_site_type_symbol
_atom_site_fract_x
_atom_site_fract_y
_atom_site_fract_z
Tb1 Tb 0.000 0.000 0.239
Al1 Al 0.500 0.500 0.000
In1 In 0.500 0.500 0.500
# E_form = -0.429 eV per atom
# Raw total energy = -17.46 eV/cell
# DOS(E_F) = 2.109 states/eV per cell